Entry 1:
## KVAs2O6 (PBE with a Hubbard U)

Data for a relaxed structure of KVAs2O6.

Output
Raw total energy = -0.2314 hartree per atom
Volume = 18.00 Å³/atom

```
data_KVAs2O6
_symmetry_space_group_name_H-M 'C 1 2/c 1'
_symmetry_Int_Tables_number 15
_cell_length_a 8.651
_cell_length_b 13.596
_cell_length_c 6.266
_cell_angle_alpha 90.00
_cell_angle_beta 102.29
_cell_angle_gamma 90.00
loop_
_symmetry_equiv_pos_as_xyz
'x,y,z'
'-x,-y,-z'
'-x,y,-z+1/2'
'x,-y,z+1/2'
'x+1/2,y+1/2,z'
'-x+1/2,-y+1/2,-z'
'-x+1/2,y+1/2,-z+1/2'
'x+1/2,-y+1/2,z+1/2'
loop_
_atom_site_label
_atom_site_fract_x
_atom_site_fract_y
_atom_site_fract_z
K1 0.000 0.108 0.250
V1 0.000 0.243 0.750
As1 0.196 0.419 0.175
O1 0.081 0.312 0.976
O2 0.150 0.169 0.676
O3 0.200 0.028 0.999
```

Entry 2:
## KAsW2O9 (PBE with a Hubbard U)

Data for a relaxed structure of KAsW2O9.

Output
Raw total energy = -0.2500 hartree per atom
Volume = 15.72 Å³/atom

```
data_KAsW2O9
_symmetry_space_group_name_H-M 'P 21 21 21'
_symmetry_Int_Tables_number 19
_cell_length_a 5.091
_cell_length_b 9.294
_cell_length_c 17.280
_cell_angle_alpha 90.00
_cell_angle_beta 90.00
_cell_angle_gamma 90.00
loop_
_symmetry_equiv_pos_as_xyz
'x,y,z'
'-x+1/2,-y,z+1/2'
'x+1/2,-y+1/2,-z'
'-x,y+1/2,-z+1/2'
loop_
_atom_site_label
_atom_site_fract_x
_atom_site_fract_y
_atom_site_fract_z
K1 0.198 0.058 0.410
As1 0.140 0.269 0.224
W1 0.110 0.065 0.667
W2 0.129 0.633 0.450
O1 0.020 0.706 0.888
O2 0.022 0.293 0.133
O3 0.099 0.808 0.208
O4 0.102 0.610 0.736
O5 0.141 0.213 0.980
O6 0.145 0.423 0.864
O7 0.151 0.010 0.093
O8 0.235 0.097 0.246
O9 0.238 0.501 0.515
```